The following is a DFT calculation (PBE) of an optimized crystal structure of Th2CoNiAu.

Output
Its total energy is -6.643 eV/atom. As for the space-group type: No. 11. The calculation puts the formation energy from the elements at -0.4421 eV/atom.

Structure (POSCAR):
```
Th2CoNiAu
1.0
7.420 0.000 0.000
0.000 4.129 0.000
-2.997 0.000 6.815
Th Co Ni Au
4 2 2 2
direct
0.087 0.250 0.340 Th
0.338 0.750 0.084 Th
0.662 0.250 0.916 Th
0.913 0.750 0.660 Th
0.066 0.250 0.931 Co
0.934 0.750 0.069 Co
0.258 0.250 0.741 Ni
0.742 0.750 0.259 Ni
0.411 0.750 0.592 Au
0.589 0.250 0.408 Au
```



The following is a DFT calculation (PBE) of an optimized crystal structure of TiCoNiAu.

Output
Its total energy is -6.228 eV/atom. As for the space-group type: No. 216. The calculation puts the formation energy from the elements at -0.2130 eV/atom.

Structure (POSCAR):
```
TiCoNiAu
1.0
6.013 0.000 0.000
0.000 6.013 0.000
0.000 0.000 6.013
Ti Co Ni Au
4 4 4 4
direct
0.000 0.000 0.000 Ti
0.000 0.500 0.500 Ti
0.500 0.000 0.500 Ti
0.500 0.500 0.000 Ti
0.250 0.250 0.750 Co
0.250 0.750 0.250 Co
0.750 0.250 0.250 Co
0.750 0.750 0.750 Co
0.250 0.250 0.250 Ni
0.250 0.750 0.750 Ni
0.750 0.250 0.750 Ni
0.750 0.750 0.250 Ni
0.000 0.000 0.500 Au
0.000 0.500 0.000 Au
0.500 0.000 0.000 Au
0.500 0.500 0.500 Au
```



The following is a DFT calculation (PBE) of an optimized crystal structure of VCoNiAu.

Output
Its total energy is -6.267 eV/atom. As for the space-group type: No. 216. The calculation puts the formation energy from the elements at 0.0533 eV/atom.

Structure (POSCAR):
```
VCoNiAu
1.0
5.947 0.000 0.000
0.000 5.947 0.000
0.000 0.000 5.947
V Co Ni Au
4 4 4 4
direct
0.000 0.000 0.000 V
0.000 0.500 0.500 V
0.500 0.000 0.500 V
0.500 0.500 0.000 V
0.250 0.250 0.750 Co
0.250 0.750 0.250 Co
0.750 0.250 0.250 Co
0.750 0.750 0.750 Co
0.250 0.250 0.250 Ni
0.250 0.750 0.750 Ni
0.750 0.250 0.750 Ni
0.750 0.750 0.250 Ni
0.000 0.000 0.500 Au
0.000 0.500 0.000 Au
0.500 0.000 0.000 Au
0.500 0.500 0.500 Au
```



The following is a DFT calculation (PBE) of an optimized crystal structure of YCoNiAu2.

Output
Its total energy is -4.630 eV/atom. As for the space-group type: No. 123. The calculation puts the formation energy from the elements at 0.5511 eV/atom.

Structure (POSCAR):
```
YCoNiAu2
1.0
4.797 0.000 0.000
0.000 4.797 0.000
0.000 0.000 4.681
Y Co Ni Au
1 1 1 2
direct
0.000 0.000 0.000 Y
0.000 0.000 0.500 Co
0.500 0.500 0.000 Ni
0.000 0.500 0.500 Au
0.500 0.000 0.500 Au
```



The following is a DFT calculation (PBE) of an optimized crystal structure of NpCo4Au.

Output
Its total energy is -7.495 eV/atom. As for the space-group type: No. 216. The calculation puts the formation energy from the elements at -0.0547 eV/atom.

Structure (POSCAR):
```
NpCo4Au
1.0
0.000 3.486 3.486
3.486 0.000 3.486
3.486 3.486 0.000
Np Co Au
1 4 1
direct
0.000 0.000 0.000 Np
0.126 0.625 0.625 Co
0.625 0.126 0.625 Co
0.625 0.625 0.126 Co
0.625 0.625 0.625 Co
0.250 0.250 0.250 Au
```